{
  "formula": "AgHgBi3",
  "functional": "PBE",
  "state": "relaxed",
  "lattice": [[-1.436, -2.248, 4.890], [2.757, -4.654, -1.330], [4.622, 2.077, 2.313]],
  "species": ["Hg", "Bi", "Ag", "Bi", "Bi"],
  "fractional_positions": [[0.500, 0.500, 0.500], [0.000, 0.500, 0.000], [0.000, 0.000, 0.000], [0.000, 0.000, 0.500], [0.500, 0.000, 0.000]],
  "de_polymorph_mev_per_atom": 0,
  "formation_energy_mev_per_atom": 542,
  "n_ef_per_ev_atom": 1.0782,
  "volume_a3_per_cell": 173,
  "energy_ev_per_atom": -2.42
}

***

{
  "formula": "AgHg2BiI4",
  "functional": "PBE",
  "state": "relaxed",
  "lattice": [[-5.193, -3.438, 3.836], [-2.754, -4.298, -7.352], [7.663, 0.367, 2.467]],
  "species": ["Hg", "Bi", "I", "I", "I", "Ag", "Hg", "I"],
  "fractional_positions": [[0.458, 0.933, 0.991], [0.894, 0.831, 0.667], [0.846, 0.475, 0.211], [0.438, 0.869, 0.411], [0.094, 0.163, 0.693], [0.026, 0.498, 0.983], [0.984, 0.097, 0.194], [0.647, 0.521, 0.623]],
  "e_form_raw_ev_per_atom": -0.225,
  "volume_a3_per_cell": 334,
  "energy_ev_per_atom": -1.92
}

***

{
  "formula": "InAgHgBi",
  "functional": "PBE",
  "state": "relaxed",
  "lattice": [[5.254, 0.000, 0.000], [2.627, 4.550, 0.000], [2.627, 1.517, 4.290]],
  "species": ["In", "Ag", "Hg", "Bi"],
  "fractional_positions": [[0.500, 0.500, 0.500], [0.250, 0.250, 0.250], [0.750, 0.750, 0.750], [0.000, 0.000, 0.000]],
  "formation_energy_mev_per_atom": 120,
  "n_ef_per_ev_atom": 0.5543,
  "volume_a3_per_cell": 103,
  "energy_ev_per_atom": -2.32
}

***

{
  "formula": "AgHg2BiIr",
  "functional": "PBE",
  "state": "relaxed",
  "lattice": [[5.173, 0.000, 0.000], [0.000, 5.167, 0.000], [0.000, 0.000, 5.173]],
  "species": ["Ag", "Hg", "Bi", "Hg", "Ir"],
  "fractional_positions": [[0.000, 0.500, 0.000], [0.500, 0.000, 0.000], [0.500, 0.500, 0.500], [0.000, 0.000, 0.500], [0.000, 0.000, 0.000]],
  "formation_energy_mev_per_atom": 701,
  "n_ef_per_ev_atom": 1.2598,
  "volume_a3_per_cell": 138,
  "energy_ev_per_atom": -2.54
}

***

{
  "formula": "KAgHg2Bi",
  "functional": "PBE",
  "state": "relaxed",
  "lattice": [[-3.011, -1.676, 4.906], [4.568, -3.540, 1.594], [2.290, 4.241, 2.854]],
  "species": ["Bi", "K", "Ag", "Hg", "Hg"],
  "fractional_positions": [[0.000, 0.000, 0.000], [0.500, 0.500, 0.500], [0.000, 0.000, 0.500], [0.000, 0.500, 0.000], [0.500, 0.000, 0.000]],
  "de_polymorph_mev_per_atom": 37,
  "formation_energy_mev_per_atom": 48,
  "n_ef_per_ev_atom": 0.3519,
  "volume_a3_per_cell": 201,
  "energy_ev_per_atom": -1.64
}

***

{
  "formula": "KAgHg2Bi",
  "functional": "PBE",
  "state": "relaxed",
  "lattice": [[5.502, 0.000, 0.000], [0.000, 5.502, 0.000], [0.000, 0.000, 5.711]],
  "species": ["Ag", "Bi", "Hg", "Hg", "K"],
  "fractional_positions": [[0.000, 0.000, 0.000], [0.000, 0.000, 0.500], [0.500, 0.000, 0.000], [0.000, 0.500, 0.000], [0.500, 0.500, 0.500]],
  "de_polymorph_mev_per_atom": 0,
  "formation_energy_mev_per_atom": 11,
  "n_ef_per_ev_atom": 0.8830,
  "volume_a3_per_cell": 173,
  "energy_ev_per_atom": -1.68
}

***

{
  "formula": "LaAgHgBi",
  "functional": "PBE",
  "state": "relaxed",
  "lattice": [[-5.240, -0.094, 1.025], [-1.967, -3.485, 3.536], [-1.830, 1.722, 4.712]],
  "species": ["La", "Hg", "Bi", "Ag"],
  "fractional_positions": [[0.250, 0.250, 0.250], [0.000, 0.000, 0.000], [0.750, 0.750, 0.750], [0.500, 0.500, 0.500]],
  "formation_energy_mev_per_atom": -389,
  "n_ef_per_ev_atom": 0.5805,
  "volume_a3_per_cell": 108,
  "energy_ev_per_atom": -3.38
}

***

{
  "formula": "Li2AgHgBi",
  "functional": "PBE",
  "state": "relaxed",
  "lattice": [[-2.985, 1.414, 3.900], [-0.050, -5.049, 1.792], [6.172, -1.062, 5.108]],
  "species": ["Ag", "Bi", "Bi", "Li", "Hg", "Hg", "Li", "Li", "Ag", "Li"],
  "fractional_positions": [[0.250, 0.879, 0.595], [0.750, 0.944, 0.796], [0.250, 0.056, 0.204], [0.750, 0.315, 0.017], [0.250, 0.326, 0.770], [0.750, 0.674, 0.230], [0.250, 0.685, 0.983], [0.250, 0.454, 0.395], [0.750, 0.121, 0.405], [0.750, 0.546, 0.605]],
  "formation_energy_mev_per_atom": -283,
  "n_ef_per_ev_atom": 0.2095,
  "volume_a3_per_cell": 209,
  "energy_ev_per_atom": -2.46
}